[1]
# TiPt3C | Alexandria | GGA-PBE | optimized geometry
# Density ... 10.55 Mg/m³
# Total moment ... 0.000 μB/f.u.
# Volume ... 20.303 Å³ per atom
# E_form ... 1950 meV per atom
data_TiPt3C
_chemical_formula_sum 'Ti1 Pt3 C1'
_cell_length_a 4.665
_cell_length_b 4.665
_cell_length_c 4.665
_cell_angle_alpha 90.00
_cell_angle_beta 90.00
_cell_angle_gamma 90.00
_symmetry_space_group_name_H-M 'P 1'
_symmetry_Int_Tables_number 1
_symmetry_space_group_name_Hall 'P 1'
loop_
_atom_site_label
_atom_site_type_symbol
_atom_site_fract_x
_atom_site_fract_y
_atom_site_fract_z
Pt1 Pt 0.500 0.000 0.000
Pt2 Pt 0.000 0.500 0.000
Pt3 Pt 0.000 0.000 0.500
Ti1 Ti 0.000 0.000 0.000
C1 C 0.500 0.500 0.500


[2]
# Ti4PtC2 | Alexandria | GGA-PBE | optimized geometry
# Density ... 7.37 Mg/m³
# Total moment ... 0.000 μB/f.u.
# Volume ... 13.211 Å³ per atom
# E_form ... -788 meV per atom
data_Ti4PtC2
_chemical_formula_sum 'Ti8 Pt2 C4'
_cell_length_a 3.123
_cell_length_b 5.499
_cell_length_c 11.232
_cell_angle_alpha 90.00
_cell_angle_beta 90.00
_cell_angle_gamma 106.50
_symmetry_space_group_name_H-M 'P 1'
_symmetry_Int_Tables_number 1
_symmetry_space_group_name_Hall 'P 1'
loop_
_atom_site_label
_atom_site_type_symbol
_atom_site_fract_x
_atom_site_fract_y
_atom_site_fract_z
Ti1 Ti 0.763 0.526 0.104
Ti2 Ti 0.921 0.841 0.750
Ti3 Ti 0.500 0.000 0.000
Ti4 Ti 0.237 0.474 0.896
Ti5 Ti 0.763 0.526 0.396
Ti6 Ti 0.237 0.474 0.604
Ti7 Ti 0.500 0.000 0.500
Ti8 Ti 0.079 0.159 0.250
C1 C 0.134 0.268 0.441
C2 C 0.866 0.732 0.941
C3 C 0.866 0.732 0.559
C4 C 0.134 0.268 0.059
Pt1 Pt 0.609 0.218 0.750
Pt2 Pt 0.391 0.782 0.250


[3]
# TiPt3C | Alexandria | GGA-PBE | optimized geometry
# Density ... 14.42 Mg/m³
# Total moment ... 0.000 μB/f.u.
# Volume ... 14.854 Å³ per atom
# E_form ... 192 meV per atom
data_TiPt3C
_chemical_formula_sum 'Ti1 Pt3 C1'
_cell_length_a 4.203
_cell_length_b 4.203
_cell_length_c 4.203
_cell_angle_alpha 90.00
_cell_angle_beta 90.00
_cell_angle_gamma 90.00
_symmetry_space_group_name_H-M 'P 1'
_symmetry_Int_Tables_number 1
_symmetry_space_group_name_Hall 'P 1'
loop_
_atom_site_label
_atom_site_type_symbol
_atom_site_fract_x
_atom_site_fract_y
_atom_site_fract_z
Pt1 Pt 0.000 0.500 0.000
Pt2 Pt 0.500 0.000 0.000
Pt3 Pt 0.000 0.000 0.500
C1 C 0.000 0.000 0.000
Ti1 Ti 0.500 0.500 0.500


[4]
# Ti2PtC2 | Alexandria | GGA-PBE | optimized geometry
# Density ... 6.88 Mg/m³
# Total moment ... 0.000 μB/f.u.
# Volume ... 15.207 Å³ per atom
# E_form ... -165 meV per atom
data_Ti2PtC2
_chemical_formula_sum 'Ti2 Pt1 C2'
_cell_length_a 4.166
_cell_length_b 4.166
_cell_length_c 5.279
_cell_angle_alpha 66.76
_cell_angle_beta 66.76
_cell_angle_gamma 90.00
_symmetry_space_group_name_H-M 'P 1'
_symmetry_Int_Tables_number 1
_symmetry_space_group_name_Hall 'P 1'
loop_
_atom_site_label
_atom_site_type_symbol
_atom_site_fract_x
_atom_site_fract_y
_atom_site_fract_z
Pt1 Pt 0.000 0.000 0.000
Ti1 Ti 0.250 0.750 0.500
Ti2 Ti 0.750 0.250 0.500
C1 C 0.768 0.768 0.463
C2 C 0.232 0.232 0.537


[5]
# Ti6PtC2 | Alexandria | GGA-PBE | optimized geometry
# Density ... 6.08 Mg/m³
# Total moment ... 0.000 μB/f.u.
# Volume ... 15.356 Å³ per atom
# E_form ... -419 meV per atom
data_Ti6PtC2
_chemical_formula_sum 'Ti6 Pt1 C2'
_cell_length_a 4.202
_cell_length_b 5.433
_cell_length_c 7.072
_cell_angle_alpha 71.25
_cell_angle_beta 72.72
_cell_angle_gamma 67.25
_symmetry_space_group_name_H-M 'P 1'
_symmetry_Int_Tables_number 1
_symmetry_space_group_name_Hall 'P 1'
loop_
_atom_site_label
_atom_site_type_symbol
_atom_site_fract_x
_atom_site_fract_y
_atom_site_fract_z
C1 C 0.812 0.281 0.095
C2 C 0.188 0.719 0.905
Ti1 Ti 0.306 0.301 0.087
Ti2 Ti 0.326 0.774 0.575
Ti3 Ti 0.017 0.150 0.815
Ti4 Ti 0.983 0.850 0.185
Ti5 Ti 0.694 0.699 0.913
Ti6 Ti 0.674 0.226 0.425
Pt1 Pt 0.000 0.500 0.500


[6]
# Ti6Pt2C | Alexandria | GGA-PBE | optimized geometry
# Density ... 8.37 Mg/m³
# Total moment ... 0.000 μB/f.u.
# Volume ... 15.188 Å³ per atom
# E_form ... -553 meV per atom
data_Ti6Pt2C
_chemical_formula_sum 'Ti6 Pt2 C1'
_cell_length_a 3.102
_cell_length_b 7.226
_cell_length_c 7.088
_cell_angle_alpha 120.64
_cell_angle_beta 90.00
_cell_angle_gamma 90.00
_symmetry_space_group_name_H-M 'P 1'
_symmetry_Int_Tables_number 1
_symmetry_space_group_name_Hall 'P 1'
loop_
_atom_site_label
_atom_site_type_symbol
_atom_site_fract_x
_atom_site_fract_y
_atom_site_fract_z
Ti1 Ti 0.500 0.010 0.628
Ti2 Ti 0.500 0.382 0.372
Ti3 Ti 0.000 0.996 0.220
Ti4 Ti 0.000 0.776 0.780
Ti5 Ti 0.500 0.561 0.000
Ti6 Ti 0.000 0.230 0.000
C1 C 0.500 0.025 0.000
Pt1 Pt 0.000 0.340 0.660
Pt2 Pt 0.000 0.680 0.340


[7]
# TiPt2C | Alexandria | GGA-PBE | optimized geometry
# Density ... 10.89 Mg/m³
# Total moment ... 0.000 μB/f.u.
# Volume ... 17.164 Å³ per atom
# E_form ... 130 meV per atom
data_TiPt2C
_chemical_formula_sum 'Ti2 Pt4 C2'
_cell_length_a 5.205
_cell_length_b 5.205
_cell_length_c 6.264
_cell_angle_alpha 65.45
_cell_angle_beta 65.45
_cell_angle_gamma 90.00
_symmetry_space_group_name_H-M 'P 1'
_symmetry_Int_Tables_number 1
_symmetry_space_group_name_Hall 'P 1'
loop_
_atom_site_label
_atom_site_type_symbol
_atom_site_fract_x
_atom_site_fract_y
_atom_site_fract_z
C1 C 0.500 0.500 0.000
C2 C 0.250 0.750 0.500
Pt1 Pt 0.209 0.625 0.250
Pt2 Pt 0.875 0.791 0.750
Pt3 Pt 0.375 0.459 0.750
Pt4 Pt 0.541 0.125 0.250
Ti1 Ti 0.750 0.250 0.500
Ti2 Ti 0.000 0.000 0.000


[8]
# Ti4PtC | Alexandria | GGA-PBE | optimized geometry
# Density ... 6.69 Mg/m³
# Total moment ... 0.000 μB/f.u.
# Volume ... 16.500 Å³ per atom
# E_form ... -297 meV per atom
data_Ti4PtC
_chemical_formula_sum 'Ti8 Pt2 C2'
_cell_length_a 4.277
_cell_length_b 7.320
_cell_length_c 7.793
_cell_angle_alpha 90.00
_cell_angle_beta 90.00
_cell_angle_gamma 125.76
_symmetry_space_group_name_H-M 'P 1'
_symmetry_Int_Tables_number 1
_symmetry_space_group_name_Hall 'P 1'
loop_
_atom_site_label
_atom_site_type_symbol
_atom_site_fract_x
_atom_site_fract_y
_atom_site_fract_z
Ti1 Ti 0.674 0.924 0.250
Ti2 Ti 0.962 0.712 0.454
Ti3 Ti 0.500 0.750 0.750
Ti4 Ti 0.038 0.288 0.954
Ti5 Ti 0.326 0.076 0.750
Ti6 Ti 0.038 0.288 0.546
Ti7 Ti 0.500 0.250 0.250
Ti8 Ti 0.962 0.712 0.046
C1 C 0.170 0.920 0.250
C2 C 0.830 0.080 0.750
Pt1 Pt 0.236 0.486 0.250
Pt2 Pt 0.764 0.514 0.750


[9]
# TiVPt2C | Alexandria | GGA-PBE | optimized geometry
# Density ... 9.61 Mg/m³
# Total moment ... 0.087 μB/f.u.
# Volume ... 17.316 Å³ per atom
# E_form ... 1181 meV per atom
data_TiVPt2C
_chemical_formula_sum 'Ti1 V1 Pt2 C1'
_cell_length_a 4.698
_cell_length_b 3.923
_cell_length_c 4.698
_cell_angle_alpha 90.00
_cell_angle_beta 90.00
_cell_angle_gamma 90.00
_symmetry_space_group_name_H-M 'P 1'
_symmetry_Int_Tables_number 1
_symmetry_space_group_name_Hall 'P 1'
loop_
_atom_site_label
_atom_site_type_symbol
_atom_site_fract_x
_atom_site_fract_y
_atom_site_fract_z
Pt1 Pt 0.500 0.000 0.000
Pt2 Pt 0.000 0.000 0.500
V1 V 0.500 0.500 0.500
Ti1 Ti 0.000 0.000 0.000
C1 C 0.000 0.500 0.000


[10]
# Ti2VPtC | Alexandria | GGA-PBE | optimized geometry
# Density ... 8.58 Mg/m³
# Total moment ... 0.684 μB/f.u.
# Volume ... 13.696 Å³ per atom
# E_form ... -659 meV per atom
data_Ti2VPtC
_chemical_formula_sum 'Ti2 V1 Pt1 C1'
_cell_length_a 4.162
_cell_length_b 4.162
_cell_length_c 3.953
_cell_angle_alpha 90.00
_cell_angle_beta 90.00
_cell_angle_gamma 90.00
_symmetry_space_group_name_H-M 'P 1'
_symmetry_Int_Tables_number 1
_symmetry_space_group_name_Hall 'P 1'
loop_
_atom_site_label
_atom_site_type_symbol
_atom_site_fract_x
_atom_site_fract_y
_atom_site_fract_z
Ti1 Ti 0.500 0.000 0.000
Ti2 Ti 0.000 0.500 0.000
V1 V 0.000 0.000 0.500
C1 C 0.000 0.000 0.000
Pt1 Pt 0.500 0.500 0.500